# 1
## Pr3Tl4InSe8 (PBE-GGA)

Data for an optimized crystal structure of Pr3Tl4InSe8.

Values from the calculation:
uncorrected energy	-4.53	eV/atom

CIF file:
```
data_Pr3Tl4InSe8
_cell_length_a 8.6009
_cell_length_b 8.6009
_cell_length_c 23.2635
_cell_angle_alpha 90.00
_cell_angle_beta 90.00
_cell_angle_gamma 120.00
_symmetry_space_group_name_H-M 'R -3 m'
_symmetry_Int_Tables_number 166
_symmetry_space_group_name_Hall '-R 3 2"'
loop_
_atom_site_label
_atom_site_fract_x
_atom_site_fract_y
_atom_site_fract_z
Pr1 0.0000 0.5000 0.0000
Tl1 0.0000 0.0000 0.5000
Tl2 0.0000 0.5000 0.5000
In1 0.0000 0.0000 0.0000
Se1 0.0000 0.0000 0.2621
Se2 0.0129 0.5064 0.7363
```

***

# 2
## YHgSbC2 (PBE-GGA)

Data for an optimized crystal structure of YHgSbC2.

Values from the calculation:
uncorrected energy	-4.21	eV/atom

CIF file:
```
data_YHgSbC2
_cell_length_a 4.382
_cell_length_b 4.382
_cell_length_c 5.381
_cell_angle_alpha 90.00
_cell_angle_beta 90.00
_cell_angle_gamma 90.00
_symmetry_space_group_name_H-M 'P 4/m m m'
_symmetry_Int_Tables_number 123
_symmetry_space_group_name_Hall '-P 4 2'
loop_
_atom_site_label
_atom_site_fract_x
_atom_site_fract_y
_atom_site_fract_z
Y1 0.000 0.000 0.000
Hg1 0.500 0.500 0.000
Sb1 0.500 0.500 0.500
C1 0.000 0.500 0.500
```

***

For the records above, the corresponding E_form (uncorrected) values read -18.017, 8.270 eV per formula unit.